Entry 1:
DFT (GGA-PBE) results for a relaxed BaLaCr2 crystal.

```
BaLaCr2
1.0
-2.737 2.737 9.623
2.737 -2.737 9.623
2.737 2.737 -9.623
Ba La Cr
2 2 4
Direct
0.375 0.625 0.750
0.625 0.375 0.250
0.125 0.875 0.250
0.875 0.125 0.750
0.000 0.000 0.000
0.000 0.000 0.500
0.000 0.500 0.000
0.500 0.000 0.500
```

Output
The calculated volume is 36.06 Å³ per atom. The calculation puts the density at 4.4 Mg/m³. The calculation puts the energy above the lowest structure with this stoichiometry at 0.5319 eV/atom.

***

Entry 2:
DFT (GGA-PBE) results for a relaxed LaMgZn4Ag2 crystal.

```
LaMgZn4Ag2
1.0
2.251 1.300 9.018
-2.251 1.300 9.018
0.000 -2.599 9.018
La Mg Zn Ag
1 1 4 2
Direct
0.000 0.000 0.000
0.500 0.500 0.500
0.123 0.123 0.123
0.398 0.398 0.398
0.602 0.602 0.602
0.877 0.877 0.877
0.235 0.235 0.235
0.765 0.765 0.765
```

Output
The calculated volume is 19.79 Å³ per atom. The calculation puts the density at 6.7 Mg/m³. Its total energy is -2.33 eV/atom.

***

Entry 3:
DFT (GGA-PBE) results for a relaxed Ac2Zn5Cu3 crystal.

```
Ac2Zn5Cu3
1.0
-5.198 6.244 3.077
5.198 -6.244 3.077
5.198 6.244 -3.077
Ac Zn Cu
4 10 6
Direct
0.124 0.232 0.356
0.376 0.732 0.108
0.624 0.268 0.892
0.876 0.768 0.644
0.028 0.750 0.278
0.134 0.889 0.023
0.250 0.750 0.500
0.366 0.389 0.755
0.472 0.750 0.722
0.528 0.250 0.278
0.634 0.611 0.245
0.750 0.250 0.500
0.866 0.111 0.977
0.972 0.250 0.722
0.116 0.645 0.761
0.250 0.250 0.000
0.384 0.145 0.529
0.616 0.855 0.471
0.750 0.750 0.000
0.884 0.355 0.239
```

Output
The calculated volume is 19.97 Å³ per atom. The calculation puts the density at 8.1 Mg/m³. The calculation puts the energy above the lowest structure with this stoichiometry at 0.0000 eV/atom.

***

Entry 4:
DFT (GGA-PBE) results for a relaxed Cs5SbSe4Cl2 crystal.

```
Cs5SbSe4Cl2
1.0
10.699 0.000 0.000
0.000 6.123 4.306
0.000 -6.123 4.306
Cs Sb Se Cl
5 1 4 2
Direct
0.000 0.000 0.000
0.253 0.313 0.706
0.253 0.706 0.313
0.747 0.313 0.706
0.747 0.706 0.313
0.500 0.988 0.988
0.308 0.158 0.158
0.500 0.649 0.976
0.500 0.976 0.649
0.692 0.158 0.158
0.000 0.533 0.993
0.000 0.993 0.533
```

Output
As for the energy relative to the elements, uncorrected: -118 kJ/mol of atoms. The calculated volume is 47.01 Å³ per atom. The calculation puts the density at 3.5 Mg/m³.

***

Entry 5:
DFT (GGA-PBE) results for a relaxed Y4HgRu crystal.

```
Y4HgRu
1.0
4.377 -2.516 0.000
4.377 2.516 0.000
-2.897 0.000 7.861
Y Hg Ru
4 1 1
Direct
0.117 0.117 0.350
0.366 0.366 0.099
0.634 0.634 0.901
0.883 0.883 0.650
0.500 0.500 0.500
0.000 0.000 0.000
```

Output
The calculated volume is 28.86 Å³ per atom. The calculation puts the density at 6.3 Mg/m³. The calculation puts the energy above the lowest structure with this stoichiometry at 0.1497 eV/atom.

***

Entry 6:
DFT (GGA-PBE) results for a relaxed CaMg3 crystal.

```
CaMg3
1.0
3.453 0.000 0.000
-1.727 2.990 0.000
0.000 0.000 10.740
Ca Mg
1 3
Direct
0.000 0.000 0.000
0.000 0.000 0.500
0.667 0.333 0.265
0.667 0.333 0.735
```

Output
The calculated volume is 27.73 Å³ per atom. The calculation puts the density at 1.7 Mg/m³. Its total energy is -1.62 eV/atom.

***

Question: Among the records above, which one has the lowest calculated volume?
Answer: LaMgZn4Ag2